1.
A plane-wave DFT calculation with PBE-GGA was carried out for a relaxed La8CuPt3Br4 crystal.

Lattice parameters (Å, degrees): 8.579 9.280 8.585 117.59 119.97 90.00
Element x y z (fractional)
La  0.235  0.700  0.965
La  0.235  0.700  0.471
La  0.266  0.298  0.531
La  0.730  0.700  0.965
La  0.270  0.300  0.035
La  0.734  0.702  0.469
La  0.765  0.300  0.529
La  0.765  0.300  0.035
Cu  0.000  0.500  0.000
Pt  0.500  0.500  0.000
Pt  0.500  0.500  0.500
Pt  0.000  0.500  0.500
Br  0.500  0.000  0.000
Br  0.500  0.000  0.500
Br  0.000  0.000  0.000
Br  0.000  0.000  0.500

Values from the calculation:
Formation energy from raw total energies = -1819 kJ/mol of formula units
Magnetization = 0.00 μB per formula unit
Space-group type = C2/m
Calculated volume = 31.27 A^3/atom
E = -0.4005 Ry per atom

2.
A plane-wave DFT calculation with PBE-GGA was carried out for a relaxed La4CuPtBr2 crystal.

Lattice parameters (Å, degrees): 4.342 7.301 8.087 107.49 90.00 90.00
Element x y z (fractional)
La  0.500  0.245  0.209
La  0.500  0.755  0.791
La  0.000  0.261  0.792
La  0.000  0.739  0.208
Cu  0.000  0.000  0.000
Pt  0.500  0.500  0.000
Br  0.500  0.000  0.500
Br  0.000  0.500  0.500

Values from the calculation:
Formation energy from raw total energies = -779 kJ/mol of formula units
Magnetization = 0.00 μB per formula unit
Space-group type = P2/m
Calculated volume = 30.57 A^3/atom
E = -0.3791 Ry per atom

3.
A plane-wave DFT calculation with PBE-GGA was carried out for a relaxed RbLaCuBr5 crystal.

Lattice parameters (Å, degrees): 7.976 7.976 10.931 103.58 103.58 106.36
Each line ends with the local moment (μB).
Element x y z (fractional)
Rb  0.357  0.643  0.250  0.00
Rb  0.643  0.357  0.750  0.00
La  0.000  0.000  0.500  0.00
La  0.000  0.000  0.000  0.00
Cu  0.690  0.310  0.250  0.13
Cu  0.310  0.690  0.750  0.13
Br  0.089  0.911  0.250  0.00
Br  0.911  0.089  0.750  0.00
Br  0.908  0.319  0.122  0.01
Br  0.092  0.681  0.878  0.01
Br  0.681  0.092  0.378  0.01
Br  0.319  0.908  0.622  0.01
Br  0.760  0.610  0.424  0.01
Br  0.240  0.390  0.576  0.01
Br  0.390  0.240  0.076  0.01
Br  0.610  0.760  0.924  0.01

Values from the calculation:
Formation energy from raw total energies = -1148 kJ/mol of formula units
Magnetization = 0.16 μB per formula unit
Space-group type = C2/c
Calculated volume = 38.37 A^3/atom
E = -0.2779 Ry per atom

4.
A plane-wave DFT calculation with PBE-GGA was carried out for a relaxed RbLaCu2Br6 crystal.

Lattice parameters (Å, degrees): 8.994 8.994 9.542 99.68 99.68 109.24
Element x y z (fractional)
Rb  0.131  0.869  0.250
Rb  0.869  0.131  0.750
La  0.555  0.445  0.250
La  0.445  0.555  0.750
Cu  0.387  0.118  0.743
Cu  0.882  0.613  0.757
Cu  0.613  0.882  0.257
Cu  0.118  0.387  0.243
Br  0.905  0.476  0.268
Br  0.524  0.095  0.232
Br  0.095  0.524  0.732
Br  0.476  0.905  0.768
Br  0.194  0.212  0.090
Br  0.788  0.806  0.410
Br  0.806  0.788  0.910
Br  0.212  0.194  0.590
Br  0.355  0.587  0.431
Br  0.413  0.645  0.069
Br  0.645  0.413  0.569
Br  0.587  0.355  0.931

Values from the calculation:
Formation energy from raw total energies = -1176 kJ/mol of formula units
Magnetization = 0.00 μB per formula unit
Space-group type = C2/c
Calculated volume = 34.87 A^3/atom
E = -0.2669 Ry per atom

Q: calculated volume of number 1 (La8CuPt3Br4)?
A: 31.27 A^3/atom

Q: Which formula does entry 4 have?
A: RbLaCu2Br6